(1)
The following is a DFT calculation (PBE-GGA) of a relaxed structure of Ca3TlO.

Mass density: 3.101 g/cm3
Formation energy (no corrections): 0.036 eV per atom

```
Ca3TlO
1.0
-2.799 2.799 11.643
2.799 -2.799 11.643
2.799 2.799 -11.643
Ca Tl O
6 2 2
Cartesian
0.000 0.000 4.589
1.497 2.799 -3.050
1.302 0.000 8.593
2.799 1.497 3.050
0.000 0.000 18.697
0.000 1.302 14.693
2.799 0.000 5.822
0.000 0.000 11.643
0.000 2.799 3.537
0.000 2.799 8.106
```

=====

(2)
The following is a DFT calculation (PBE-GGA) of a relaxed structure of Ca2TlO.

Mass density: 4.682 g/cm3
Formation energy (no corrections): -1.496 eV per atom

```
Ca2TlO
1.0
6.913 0.000 0.000
0.000 6.913 0.000
0.000 0.000 8.922
Ca Tl O
8 4 4
Cartesian
0.848 1.728 1.115
1.728 4.304 3.346
1.728 6.065 7.807
2.608 1.728 5.576
4.304 5.185 5.576
5.185 0.848 7.807
5.185 2.608 3.346
6.065 5.185 1.115
0.000 0.000 4.461
0.000 3.456 6.691
3.456 0.000 2.230
3.456 3.456 0.000
0.000 0.000 0.000
0.000 3.456 2.230
3.456 0.000 6.691
3.456 3.456 4.461
```

=====

(3)
The following is a DFT calculation (PBE-GGA) of a relaxed structure of Ca11Tl9O24.

Mass density: 6.836 g/cm3
Formation energy (no corrections): -1.824 eV per atom

```
Ca11Tl9O24
1.0
11.393 0.000 0.000
0.000 6.757 0.000
-0.037 0.000 16.815
Ca Tl O
22 18 48
Cartesian
1.173 1.689 2.364
1.196 5.067 2.429
1.510 1.689 9.089
1.503 5.067 9.098
1.894 1.689 13.032
1.894 5.067 13.041
3.758 1.689 4.619
4.158 5.067 0.659
4.179 1.689 0.678
4.436 5.067 10.877
4.458 1.689 10.887
6.898 5.067 5.927
6.920 1.689 5.938
7.177 5.067 16.137
7.197 1.689 16.156
7.597 5.067 12.195
9.462 1.689 3.773
9.461 5.067 3.782
9.853 1.689 7.717
9.845 5.067 7.726
10.159 1.689 14.386
10.182 5.067 14.451
0.939 0.004 5.939
0.939 3.374 5.939
1.501 0.002 16.042
1.501 3.376 16.042
3.749 5.067 4.583
4.144 0.004 7.660
4.144 3.374 7.660
4.682 3.386 14.318
4.682 6.748 14.318
6.674 0.008 2.496
6.674 3.370 2.496
7.212 3.382 9.154
7.212 6.753 9.154
7.607 1.689 12.231
9.855 6.754 0.773
9.855 3.381 0.773
10.417 3.382 10.875
10.417 6.752 10.875
-0.019 0.000 8.407
-0.019 3.378 8.407
0.008 1.689 0.024
0.465 1.689 11.193
0.477 5.067 11.200
0.530 0.003 14.114
0.530 3.376 14.114
2.207 3.405 4.034
2.207 6.730 4.034
2.477 1.689 6.804
2.499 0.004 1.155
2.499 3.374 1.155
2.510 5.067 6.769
3.162 6.754 9.584
3.162 3.381 9.584
3.151 5.067 15.227
3.189 1.689 15.213
3.460 6.756 12.425
3.460 3.379 12.425
5.091 3.398 5.698
5.091 6.737 5.698
5.163 5.067 2.807
5.204 1.689 2.798
5.665 5.067 8.446
5.697 0.000 0.000
5.697 3.378 0.000
5.691 1.689 8.369
6.151 5.067 14.016
6.193 1.689 14.008
6.265 0.020 11.116
6.265 3.358 11.116
7.896 0.001 4.389
7.896 3.377 4.389
8.167 5.067 1.601
8.204 1.689 1.587
8.194 0.003 7.231
8.194 3.376 7.231
8.845 1.689 10.045
8.857 3.382 15.659
8.857 6.752 15.659
8.879 5.067 10.011
9.149 0.026 12.781
9.149 3.352 12.781
10.826 6.754 2.701
10.826 3.381 2.701
10.879 1.689 5.615
10.890 5.067 5.621
11.348 5.067 16.791
```

=====

(4)
The following is a DFT calculation (PBE-GGA) of a relaxed structure of CaTl2O4.

Mass density: 8.438 g/cm3
Formation energy (no corrections): -1.330 eV per atom

```
CaTl2O4
1.0
1.690 -5.606 0.000
1.690 5.606 0.000
0.000 0.000 10.651
Ca Tl O
2 4 8
Cartesian
1.690 4.393 7.988
1.690 -4.393 2.663
1.690 1.509 6.093
1.690 1.509 9.884
1.690 -1.509 0.767
1.690 -1.509 4.558
0.000 0.000 0.000
0.000 0.000 5.326
1.690 2.463 1.251
1.690 2.463 4.075
1.690 0.413 7.988
1.690 -0.413 2.663
1.690 -2.463 6.576
1.690 -2.463 9.401
```